Entry 1:
# TbBi2F11

A relaxed TbBi2F11 crystal (PBE-GGA, Alexandria via LeMat-Bulk).

a = 8.5792 Å, b = 8.5792 Å, c = 8.5792 Å
α = 122.66°, β = 105.97°, γ = 100.67°
Last column: nearest neighbours and their distance in Å.
Element x y z (fractional)
Tb (0.2500, 0.2500, 0.0000)  8 F 2.31-2.32
Tb (0.7500, 0.7500, 0.0000)  8 F 2.31-2.32
Bi (0.1815, 0.6450, 0.8264)  7 F 2.14-2.30
Bi (0.3185, 0.1450, 0.4635)  7 F 2.14-2.30
Bi (0.6815, 0.8550, 0.5365)  7 F 2.14-2.30
Bi (0.8185, 0.3550, 0.1736)  7 F 2.14-2.30
F (0.0000, 0.5000, 0.5000)  2 Bi 2.22, 2 F 2.46
F (0.0342, 0.9549, 0.2759)  1 Bi 2.18, 1 Tb 2.32
F (0.0653, 0.3540, 0.1479)  1 Bi 2.19, 1 Tb 2.31
F (0.1789, 0.4549, 0.9206)  1 Bi 2.18, 1 Tb 2.32
F (0.2061, 0.9174, 0.8521)  1 Bi 2.19, 1 Tb 2.31
F (0.2139, 0.3687, 0.5826)  2 Bi 2.14-2.30
F (0.2861, 0.8687, 0.1547)  2 Bi 2.14-2.30
F (0.2939, 0.1460, 0.7113)  1 Bi 2.19, 1 Tb 2.31
F (0.3211, 0.2417, 0.2759)  1 Bi 2.18, 1 Tb 2.32
F (0.4347, 0.5826, 0.2887)  1 Bi 2.19, 1 Tb 2.31
F (0.4658, 0.7417, 0.9206)  1 Bi 2.18, 1 Tb 2.32
F (0.5000, 0.0000, 0.5000)  2 Bi 2.22, 2 F 2.46
F (0.5342, 0.2583, 0.0794)  1 Bi 2.18, 1 Tb 2.32
F (0.5653, 0.4174, 0.7113)  1 Bi 2.19, 1 Tb 2.31
F (0.6789, 0.7583, 0.7241)  1 Bi 2.18, 1 Tb 2.32
F (0.7061, 0.8540, 0.2887)  1 Bi 2.19, 1 Tb 2.31
F (0.7139, 0.1313, 0.8453)  2 Bi 2.14-2.30
F (0.7861, 0.6313, 0.4174)  2 Bi 2.14-2.30
F (0.7939, 0.0826, 0.1479)  1 Bi 2.19, 1 Tb 2.31
F (0.8211, 0.5451, 0.0794)  1 Bi 2.18, 1 Tb 2.32
F (0.9347, 0.6460, 0.8521)  1 Bi 2.19, 1 Tb 2.31
F (0.9658, 0.0451, 0.7241)  1 Bi 2.18, 1 Tb 2.32

Summary:
DOS(E_F) = 1.32 states/eV/f.u.
E_form (uncorrected) = -2.630 eV/atom
SG = Ibam, No. 72
Calculated volume = 232.82 Å³/f.u.

Entry 2:
# Tb2BiF

A relaxed Tb2BiF crystal (PBE-GGA, Alexandria via LeMat-Bulk).

a = 7.0429 Å, b = 7.0429 Å, c = 7.0429 Å
α = 34.18°, β = 34.18°, γ = 34.18°
Last column: nearest neighbours and their distance in Å.
Element x y z (fractional)
Tb (0.2342, 0.2342, 0.2342)  3 F 2.74
Tb (0.7658, 0.7658, 0.7658)  3 F 2.74
Bi (0.0000, 0.0000, 0.0000)  6 Tb 3.10
F (0.5000, 0.5000, 0.5000)  6 Tb 2.74

Summary:
DOS(E_F) = 2.12 states/eV/f.u.
E_form (uncorrected) = -1.388 eV/atom
SG = R-3m, No. 166
Calculated volume = 98.30 Å³/f.u.